[1]
SmErHg | PBE-GGA | optimized geometry

- symmetry = No. 107
- ΔE_f (eV/f.u.) = -0.900
- distance to the lowest polymorph of the same formula (eV/atom) = 0.049
- total energy (eV/atom) = -3.49

The structure in POSCAR format:
```
SmErHg
1.0
3.637 0.000 0.000
0.000 3.637 0.000
-1.818 -1.818 6.441
Hg Er Sm
1 1 1
direct
0.674 0.674 0.347
0.317 0.317 0.634
0.009 0.009 0.018
```

***

[2]
Sm2ErHg8 | PBE-GGA | optimized geometry

- symmetry = No. 12
- ΔE_f (eV/f.u.) = -3.606
- total energy (eV/atom) = -1.82

The structure in POSCAR format:
```
Sm2ErHg8
1.0
-1.788 4.638 -0.675
-6.074 -1.834 3.490
6.268 0.513 5.562
Hg Sm Er
8 2 1
direct
0.849 0.831 0.698
0.595 0.447 0.191
0.978 0.270 0.956
0.667 0.894 0.334
0.405 0.553 0.809
0.151 0.169 0.302
0.022 0.730 0.044
0.333 0.106 0.666
0.788 0.343 0.576
0.212 0.657 0.424
0.500 0.000 0.000
```

***

Among the records above, which one has the lowest total energy? SmErHg